Model A:
# AcBi3Pd3 (GGA-PBE, optimized geometry)
data_AcBi3Pd3
_cell_length_a 7.522
_cell_length_b 7.522
_cell_length_c 7.522
_cell_angle_alpha 90.00
_cell_angle_beta 90.00
_cell_angle_gamma 90.00
_space_group_name_H-M_alt 'P 1'
_space_group_IT_number 1
loop_
_space_group_symop_operation_xyz
'x,y,z'
loop_
_atom_site_label
_atom_site_fract_x
_atom_site_fract_y
_atom_site_fract_z
Ac1 0.500 0.500 0.500
Ac2 0.000 0.000 0.000
Bi1 0.250 0.000 0.500
Bi2 0.000 0.500 0.250
Bi3 0.500 0.750 0.000
Bi4 0.750 0.000 0.500
Bi5 0.000 0.500 0.750
Bi6 0.500 0.250 0.000
Pd1 0.000 0.250 0.500
Pd2 0.000 0.750 0.500
Pd3 0.500 0.000 0.750
Pd4 0.750 0.500 0.000
Pd5 0.500 0.000 0.250
Pd6 0.250 0.500 0.000
# **Total moment**: 0.00 Bohr magnetons per cell
# **Crystal system**: cubic

***

Model B:
# AcBi3Pd3 (GGA-PBE, optimized geometry)
data_AcBi3Pd3
_cell_length_a 4.756
_cell_length_b 9.446
_cell_length_c 9.447
_cell_angle_alpha 120.00
_cell_angle_beta 90.00
_cell_angle_gamma 90.00
_space_group_name_H-M_alt 'P 1'
_space_group_IT_number 1
loop_
_space_group_symop_operation_xyz
'x,y,z'
loop_
_atom_site_label
_atom_site_fract_x
_atom_site_fract_y
_atom_site_fract_z
Ac1 0.750 0.333 0.667
Ac2 0.250 0.667 0.333
Bi1 0.750 0.747 0.045
Bi2 0.750 0.298 0.253
Bi3 0.750 0.955 0.702
Bi4 0.250 0.253 0.955
Bi5 0.250 0.702 0.747
Bi6 0.250 0.045 0.298
Pd1 0.750 0.935 0.396
Pd2 0.750 0.461 0.065
Pd3 0.750 0.604 0.539
Pd4 0.250 0.065 0.604
Pd5 0.250 0.539 0.935
Pd6 0.250 0.396 0.461
# **Total moment**: 0.00 Bohr magnetons per cell
# **Crystal system**: hexagonal

***

Computed energies relative to the best structure, in eV/atom: model A 0.370; model B 0.000

***

Model A:
# AcBiPd4 (GGA-PBE, optimized geometry)
data_AcBiPd4
_cell_length_a 5.596
_cell_length_b 5.596
_cell_length_c 5.596
_cell_angle_alpha 60.00
_cell_angle_beta 60.00
_cell_angle_gamma 60.00
_space_group_name_H-M_alt 'P 1'
_space_group_IT_number 1
loop_
_space_group_symop_operation_xyz
'x,y,z'
loop_
_atom_site_label
_atom_site_fract_x
_atom_site_fract_y
_atom_site_fract_z
Ac1 0.250 0.250 0.250
Bi1 0.000 0.000 0.000
Pd1 0.625 0.625 0.125
Pd2 0.625 0.125 0.625
Pd3 0.625 0.625 0.625
Pd4 0.125 0.625 0.625
# **Total moment**: 0.00 Bohr magnetons per cell
# **Crystal system**: cubic

***

Model B:
# AcBiPd4 (GGA-PBE, optimized geometry)
data_AcBiPd4
_cell_length_a 4.476
_cell_length_b 5.870
_cell_length_c 10.915
_cell_angle_alpha 90.00
_cell_angle_beta 101.83
_cell_angle_gamma 90.00
_space_group_name_H-M_alt 'P 1'
_space_group_IT_number 1
loop_
_space_group_symop_operation_xyz
'x,y,z'
loop_
_atom_site_label
_atom_site_fract_x
_atom_site_fract_y
_atom_site_fract_z
Ac1 0.381 0.750 0.762
Ac2 0.619 0.250 0.238
Bi1 0.103 0.750 0.206
Bi2 0.897 0.250 0.794
Pd1 0.211 0.488 0.423
Pd2 0.789 0.512 0.577
Pd3 0.211 0.012 0.423
Pd4 0.789 0.988 0.577
Pd5 0.677 0.750 0.354
Pd6 0.323 0.250 0.646
Pd7 0.000 0.500 0.000
Pd8 0.000 0.000 0.000
# **Total moment**: 0.00 Bohr magnetons per cell
# **Crystal system**: orthorhombic

***

Model C:
# AcBiPd4 (GGA-PBE, optimized geometry)
data_AcBiPd4
_cell_length_a 4.344
_cell_length_b 6.176
_cell_length_c 9.777
_cell_angle_alpha 90.00
_cell_angle_beta 102.84
_cell_angle_gamma 90.00
_space_group_name_H-M_alt 'P 1'
_space_group_IT_number 1
loop_
_space_group_symop_operation_xyz
'x,y,z'
loop_
_atom_site_label
_atom_site_fract_x
_atom_site_fract_y
_atom_site_fract_z
Ac1 0.086 0.250 0.172
Ac2 0.914 0.750 0.828
Bi1 0.231 0.750 0.463
Bi2 0.769 0.250 0.537
Pd1 0.500 0.500 0.000
Pd2 0.500 0.000 0.000
Pd3 0.653 0.969 0.305
Pd4 0.347 0.031 0.695
Pd5 0.347 0.469 0.695
Pd6 0.653 0.531 0.305
Pd7 0.074 0.750 0.149
Pd8 0.926 0.250 0.851
# **Total moment**: 0.00 Bohr magnetons per cell
# **Crystal system**: orthorhombic

***

Computed energies relative to the best structure, in eV/atom: model A 0.044; model B 0.109; model C 0.000

***

Model A:
# Ac2BiPd6 (GGA-PBE, optimized geometry)
data_Ac2BiPd6
_cell_length_a 6.127
_cell_length_b 6.028
_cell_length_c 6.366
_cell_angle_alpha 79.27
_cell_angle_beta 90.00
_cell_angle_gamma 120.55
_space_group_name_H-M_alt 'P 1'
_space_group_IT_number 1
loop_
_space_group_symop_operation_xyz
'x,y,z'
loop_
_atom_site_label
_atom_site_fract_x
_atom_site_fract_y
_atom_site_fract_z
Ac1 0.638 0.277 0.190
Ac2 0.362 0.723 0.810
Bi1 0.000 0.000 0.000
Pd1 0.865 0.279 0.678
Pd2 0.875 0.751 0.665
Pd3 0.414 0.279 0.678
Pd4 0.135 0.721 0.322
Pd5 0.125 0.249 0.335
Pd6 0.586 0.721 0.322
# **Total moment**: 0.00 Bohr magnetons per cell
# **Crystal system**: monoclinic

***

Model B:
# Ac2BiPd6 (GGA-PBE, optimized geometry)
data_Ac2BiPd6
_cell_length_a 6.215
_cell_length_b 6.056
_cell_length_c 6.056
_cell_angle_alpha 59.98
_cell_angle_beta 90.04
_cell_angle_gamma 90.04
_space_group_name_H-M_alt 'P 1'
_space_group_IT_number 1
loop_
_space_group_symop_operation_xyz
'x,y,z'
loop_
_atom_site_label
_atom_site_fract_x
_atom_site_fract_y
_atom_site_fract_z
Ac1 0.804 0.666 0.666
Ac2 0.196 0.334 0.334
Bi1 0.000 0.000 0.000
Pd1 0.329 0.358 0.821
Pd2 0.328 0.820 0.820
Pd3 0.329 0.821 0.358
Pd4 0.671 0.642 0.179
Pd5 0.672 0.180 0.180
Pd6 0.671 0.179 0.642
# **Total moment**: 0.00 Bohr magnetons per cell
# **Crystal system**: monoclinic

***

Computed energies relative to the best structure, in eV/atom: model A 0.006; model B 0.000

***

Model A:
# AcBiPd (GGA-PBE, optimized geometry)
data_AcBiPd
_cell_length_a 3.752
_cell_length_b 3.752
_cell_length_c 6.589
_cell_angle_alpha 106.54
_cell_angle_beta 106.54
_cell_angle_gamma 90.00
_space_group_name_H-M_alt 'P 1'
_space_group_IT_number 1
loop_
_space_group_symop_operation_xyz
'x,y,z'
loop_
_atom_site_label
_atom_site_fract_x
_atom_site_fract_y
_atom_site_fract_z
Ac1 0.979 0.979 0.958
Bi1 0.693 0.693 0.386
Pd1 0.328 0.328 0.656
# **Total moment**: 0.00 Bohr magnetons per cell
# **Crystal system**: tetragonal

***

Model B:
# AcBiPd (GGA-PBE, optimized geometry)
data_AcBiPd
_cell_length_a 4.922
_cell_length_b 7.130
_cell_length_c 10.436
_cell_angle_alpha 90.00
_cell_angle_beta 90.00
_cell_angle_gamma 90.00
_space_group_name_H-M_alt 'P 1'
_space_group_IT_number 1
loop_
_space_group_symop_operation_xyz
'x,y,z'
loop_
_atom_site_label
_atom_site_fract_x
_atom_site_fract_y
_atom_site_fract_z
Ac1 0.750 0.765 0.111
Ac2 0.250 0.235 0.889
Ac3 0.750 0.735 0.611
Ac4 0.250 0.265 0.389
Bi1 0.750 0.234 0.633
Bi2 0.750 0.266 0.133
Bi3 0.250 0.766 0.367
Bi4 0.250 0.734 0.867
Pd1 0.750 0.990 0.350
Pd2 0.250 0.490 0.150
Pd3 0.750 0.510 0.850
Pd4 0.250 0.010 0.650
# **Total moment**: 0.00 Bohr magnetons per cell
# **Crystal system**: orthorhombic

***

Model C:
# AcBiPd (GGA-PBE, optimized geometry)
data_AcBiPd
_cell_length_a 4.428
_cell_length_b 4.788
_cell_length_c 4.788
_cell_angle_alpha 120.00
_cell_angle_beta 90.00
_cell_angle_gamma 90.00
_space_group_name_H-M_alt 'P 1'
_space_group_IT_number 1
loop_
_space_group_symop_operation_xyz
'x,y,z'
loop_
_atom_site_label
_atom_site_fract_x
_atom_site_fract_y
_atom_site_fract_z
Ac1 0.656 0.333 0.667
Bi1 0.147 0.000 0.000
Pd1 0.196 0.667 0.333
# **Total moment**: 0.00 Bohr magnetons per cell
# **Crystal system**: trigonal

***

Computed energies relative to the best structure, in eV/atom: model A 0.354; model B 0.011; model C 0.000

***

Model A:
# AcPm2Bi (GGA-PBE, optimized geometry)
data_AcPm2Bi
_cell_length_a 4.219
_cell_length_b 4.219
_cell_length_c 10.304
_cell_angle_alpha 78.19
_cell_angle_beta 78.19
_cell_angle_gamma 60.00
_space_group_name_H-M_alt 'P 1'
_space_group_IT_number 1
loop_
_space_group_symop_operation_xyz
'x,y,z'
loop_
_atom_site_label
_atom_site_fract_x
_atom_site_fract_y
_atom_site_fract_z
Ac1 0.500 0.500 0.499
Pm1 0.067 0.067 0.800
Pm2 0.267 0.267 0.200
Bi1 0.666 0.666 0.001
# **Total moment**: 0.16 Bohr magnetons per cell
# **Crystal system**: trigonal

***

Model B:
# AcPm2Bi (GGA-PBE, optimized geometry)
data_AcPm2Bi
_cell_length_a 3.801
_cell_length_b 3.801
_cell_length_c 11.469
_cell_angle_alpha 80.46
_cell_angle_beta 80.46
_cell_angle_gamma 60.00
_space_group_name_H-M_alt 'P 1'
_space_group_IT_number 1
loop_
_space_group_symop_operation_xyz
'x,y,z'
loop_
_atom_site_label
_atom_site_fract_x
_atom_site_fract_y
_atom_site_fract_z
Ac1 0.500 0.500 0.500
Bi1 0.000 0.000 0.000
Pm1 0.744 0.744 0.769
Pm2 0.256 0.256 0.231
# **Total moment**: 0.00 Bohr magnetons per cell
# **Crystal system**: trigonal

***

Computed energies relative to the best structure, in eV/atom: model A 0.000; model B 0.062

***

Model A:
# AcPm2Bi (GGA-PBE, optimized geometry)
data_AcPm2Bi
_cell_length_a 5.718
_cell_length_b 5.718
_cell_length_c 5.718
_cell_angle_alpha 60.00
_cell_angle_beta 60.00
_cell_angle_gamma 60.00
_space_group_name_H-M_alt 'P 1'
_space_group_IT_number 1
loop_
_space_group_symop_operation_xyz
'x,y,z'
loop_
_atom_site_label
_atom_site_fract_x
_atom_site_fract_y
_atom_site_fract_z
Ac1 0.000 0.000 0.000
Bi1 0.500 0.500 0.500
Pm1 0.250 0.250 0.250
Pm2 0.750 0.750 0.750
# **Total moment**: 0.00 Bohr magnetons per cell
# **Crystal system**: cubic

***

Model B:
# AcPm2Bi (GGA-PBE, optimized geometry)
data_AcPm2Bi
_cell_length_a 4.996
_cell_length_b 5.149
_cell_length_c 5.149
_cell_angle_alpha 90.00
_cell_angle_beta 90.00
_cell_angle_gamma 90.00
_space_group_name_H-M_alt 'P 1'
_space_group_IT_number 1
loop_
_space_group_symop_operation_xyz
'x,y,z'
loop_
_atom_site_label
_atom_site_fract_x
_atom_site_fract_y
_atom_site_fract_z
Ac1 0.500 0.500 0.500
Bi1 0.500 0.000 0.000
Pm1 0.000 0.000 0.500
Pm2 0.000 0.500 0.000
# **Total moment**: 0.00 Bohr magnetons per cell
# **Crystal system**: tetragonal

***

Computed energies relative to the best structure, in eV/atom: model A 0.174; model B 0.000

***

Model A:
# AcPmBi2 (GGA-PBE, optimized geometry)
data_AcPmBi2
_cell_length_a 4.705
_cell_length_b 4.705
_cell_length_c 15.604
_cell_angle_alpha 90.00
_cell_angle_beta 90.00
_cell_angle_gamma 120.00
_space_group_name_H-M_alt 'P 1'
_space_group_IT_number 1
loop_
_space_group_symop_operation_xyz
'x,y,z'
loop_
_atom_site_label
_atom_site_fract_x
_atom_site_fract_y
_atom_site_fract_z
Ac1 0.667 0.333 0.250
Ac2 0.333 0.667 0.750
Pm1 0.000 0.000 0.500
Pm2 0.000 0.000 0.000
Bi1 0.333 0.667 0.385
Bi2 0.667 0.333 0.885
Bi3 0.667 0.333 0.615
Bi4 0.333 0.667 0.115
# **Total moment**: 0.00 Bohr magnetons per cell
# **Crystal system**: hexagonal

***

Model B:
# AcPmBi2 (GGA-PBE, optimized geometry)
data_AcPmBi2
_cell_length_a 4.731
_cell_length_b 4.731
_cell_length_c 8.194
_cell_angle_alpha 73.20
_cell_angle_beta 73.20
_cell_angle_gamma 60.03
_space_group_name_H-M_alt 'P 1'
_space_group_IT_number 1
loop_
_space_group_symop_operation_xyz
'x,y,z'
loop_
_atom_site_label
_atom_site_fract_x
_atom_site_fract_y
_atom_site_fract_z
Ac1 0.500 0.500 0.500
Pm1 0.000 0.000 0.000
Bi1 0.745 0.745 0.766
Bi2 0.255 0.255 0.234
# **Total moment**: 0.00 Bohr magnetons per cell
# **Crystal system**: trigonal

***

Computed energies relative to the best structure, in eV/atom: model A 0.039; model B 0.000

***

Model A:
# AcPrBi2 (GGA-PBE, optimized geometry)
data_AcPrBi2
_cell_length_a 5.798
_cell_length_b 5.798
_cell_length_c 5.798
_cell_angle_alpha 60.00
_cell_angle_beta 60.00
_cell_angle_gamma 60.00
_space_group_name_H-M_alt 'P 1'
_space_group_IT_number 1
loop_
_space_group_symop_operation_xyz
'x,y,z'
loop_
_atom_site_label
_atom_site_fract_x
_atom_site_fract_y
_atom_site_fract_z
Pr1 0.500 0.500 0.500
Ac1 0.000 0.000 0.000
Bi1 0.250 0.250 0.250
Bi2 0.750 0.750 0.750
# **Total moment**: 0.00 Bohr magnetons per cell
# **Crystal system**: cubic

***

Model B:
# AcPrBi2 (GGA-PBE, optimized geometry)
data_AcPrBi2
_cell_length_a 4.735
_cell_length_b 4.735
_cell_length_c 15.721
_cell_angle_alpha 90.00
_cell_angle_beta 90.00
_cell_angle_gamma 120.00
_space_group_name_H-M_alt 'P 1'
_space_group_IT_number 1
loop_
_space_group_symop_operation_xyz
'x,y,z'
loop_
_atom_site_label
_atom_site_fract_x
_atom_site_fract_y
_atom_site_fract_z
Ac1 0.667 0.333 0.250
Ac2 0.333 0.667 0.750
Pr1 0.000 0.000 0.500
Pr2 0.000 0.000 0.000
Bi1 0.333 0.667 0.383
Bi2 0.667 0.333 0.883
Bi3 0.667 0.333 0.617
Bi4 0.333 0.667 0.117
# **Total moment**: 0.00 Bohr magnetons per cell
# **Crystal system**: hexagonal

***

Model C:
# AcPrBi2 (GGA-PBE, optimized geometry)
data_AcPrBi2
_cell_length_a 4.762
_cell_length_b 4.762
_cell_length_c 8.250
_cell_angle_alpha 73.21
_cell_angle_beta 73.21
_cell_angle_gamma 60.01
_space_group_name_H-M_alt 'P 1'
_space_group_IT_number 1
loop_
_space_group_symop_operation_xyz
'x,y,z'
loop_
_atom_site_label
_atom_site_fract_x
_atom_site_fract_y
_atom_site_fract_z
Ac1 0.500 0.500 0.500
Pr1 0.000 0.000 0.000
Bi1 0.746 0.746 0.762
Bi2 0.254 0.254 0.238
# **Total moment**: 0.00 Bohr magnetons per cell
# **Crystal system**: trigonal

***

Computed energies relative to the best structure, in eV/atom: model A 0.239; model B 0.040; model C 0.000